1.
A relaxed structure of Cs2AlCl2F4. Source: Alexandria, functional GGA-PBE.

## Properties
The crystal system is tetragonal. For the uncorrected formation energy, the calculation gives -22.4 eV/f.u.

CIF file:
```
data_Cs2AlCl2F4
_chemical_formula_sum 'Cs4 Al2 Cl4 F8'
_cell_length_a 7.173
_cell_length_b 7.173
_cell_length_c 7.993
_cell_angle_alpha 90.00
_cell_angle_beta 90.00
_cell_angle_gamma 90.00
_symmetry_space_group_name_H-M 'I 4/m m m'
_symmetry_Int_Tables_number 139
_symmetry_space_group_name_Hall '-I 4 2'
loop_
_atom_site_label
_atom_site_fract_x
_atom_site_fract_y
_atom_site_fract_z
_atom_site_occupancy
Cs1 0.000 0.500 0.250 1
Al1 0.000 0.000 0.000 1
Cl1 0.000 0.000 0.338 1
F1 0.174 0.174 0.000 1
```

2.
A relaxed structure of Cs2AlCl6F. Source: Alexandria, functional GGA-PBE.

## Properties
The crystal system is tetragonal. For the uncorrected formation energy, the calculation gives -13.3 eV/f.u.

CIF file:
```
data_Cs2AlCl6F
_chemical_formula_sum 'Cs4 Al2 Cl12 F2'
_cell_length_a 7.223
_cell_length_b 7.223
_cell_length_c 11.255
_cell_angle_alpha 90.00
_cell_angle_beta 90.00
_cell_angle_gamma 90.00
_symmetry_space_group_name_H-M 'I 4/m m m'
_symmetry_Int_Tables_number 139
_symmetry_space_group_name_Hall '-I 4 2'
loop_
_atom_site_label
_atom_site_fract_x
_atom_site_fract_y
_atom_site_fract_z
_atom_site_occupancy
Cs1 0.000 0.500 0.250 1
Al1 0.000 0.000 0.000 1
Cl1 0.000 0.000 0.205 1
Cl2 0.230 0.230 0.000 1
F1 0.000 0.000 0.500 1
```

3.
A relaxed structure of CsAlFeCl6. Source: Alexandria, functional GGA-PBE.

## Properties
The crystal system is monoclinic. For the uncorrected formation energy, the calculation gives -12.3 eV/f.u.

CIF file:
```
data_CsAlFeCl6
_chemical_formula_sum 'Cs2 Al2 Fe2 Cl12'
_cell_length_a 6.348
_cell_length_b 10.998
_cell_length_c 7.850
_cell_angle_alpha 90.00
_cell_angle_beta 90.07
_cell_angle_gamma 90.00
_symmetry_space_group_name_H-M 'C 1 2 1'
_symmetry_Int_Tables_number 5
loop_
_symmetry_equiv_pos_as_xyz
'x,y,z'
'-x,y,-z'
'x+1/2,y+1/2,z'
'-x+1/2,y+1/2,-z'
loop_
_atom_site_label
_atom_site_fract_x
_atom_site_fract_y
_atom_site_fract_z
_atom_site_occupancy
Cs1 0.000 0.000 0.000 1
Al1 0.000 0.334 0.500 1
Fe1 0.000 0.667 0.500 1
Cl1 0.124 0.492 0.674 1
Cl2 0.176 0.191 0.673 1
Cl3 0.199 0.817 0.673 1
```

4.
A relaxed structure of CsAlGeCl2. Source: Alexandria, functional GGA-PBE.

## Properties
The crystal system is tetragonal. For the uncorrected formation energy, the calculation gives 1.9 eV/f.u.

CIF file:
```
data_CsAlGeCl2
_chemical_formula_sum 'Cs1 Al1 Ge1 Cl2'
_cell_length_a 6.231
_cell_length_b 6.231
_cell_length_c 6.627
_cell_angle_alpha 90.00
_cell_angle_beta 90.00
_cell_angle_gamma 90.00
_symmetry_space_group_name_H-M 'P 4/m m m'
_symmetry_Int_Tables_number 123
_symmetry_space_group_name_Hall '-P 4 2'
loop_
_atom_site_label
_atom_site_fract_x
_atom_site_fract_y
_atom_site_fract_z
_atom_site_occupancy
Cs1 0.000 0.000 0.000 1
Al1 0.000 0.000 0.500 1
Ge1 0.500 0.500 0.500 1
Cl1 0.000 0.500 0.000 1
```

5.
A relaxed structure of Cs2AlGeCl6. Source: Alexandria, functional GGA-PBE.

## Properties
The crystal system is tetragonal. For the uncorrected formation energy, the calculation gives -13.9 eV/f.u.

CIF file:
```
data_Cs2AlGeCl6
_chemical_formula_sum 'Cs4 Al2 Ge2 Cl12'
_cell_length_a 7.410
_cell_length_b 7.410
_cell_length_c 10.476
_cell_angle_alpha 90.00
_cell_angle_beta 90.00
_cell_angle_gamma 90.00
_symmetry_space_group_name_H-M 'I 4/m m m'
_symmetry_Int_Tables_number 139
_symmetry_space_group_name_Hall '-I 4 2'
loop_
_atom_site_label
_atom_site_fract_x
_atom_site_fract_y
_atom_site_fract_z
_atom_site_occupancy
Cs1 0.000 0.500 0.250 1
Al1 0.000 0.000 0.000 1
Ge1 0.000 0.000 0.500 1
Cl1 0.000 0.000 0.233 1
Cl2 0.234 0.234 0.000 1
```

6.
A relaxed structure of Cs2AlHCl6. Source: Alexandria, functional GGA-PBE.

## Properties
As for the total energy: -3.221 eV per atom. The crystal system is tetragonal.

CIF file:
```
data_Cs2AlHCl6
_chemical_formula_sum 'Cs4 Al2 H2 Cl12'
_cell_length_a 6.743
_cell_length_b 6.743
_cell_length_c 11.522
_cell_angle_alpha 90.00
_cell_angle_beta 90.00
_cell_angle_gamma 90.00
_symmetry_space_group_name_H-M 'I 4/m m m'
_symmetry_Int_Tables_number 139
_symmetry_space_group_name_Hall '-I 4 2'
loop_
_atom_site_label
_atom_site_fract_x
_atom_site_fract_y
_atom_site_fract_z
_atom_site_occupancy
Cs1 0.000 0.500 0.250 1
Al1 0.000 0.000 0.000 1
H1 0.000 0.000 0.500 1
Cl1 0.000 0.000 0.196 1
Cl2 0.242 0.242 0.500 1
```

7.
A relaxed structure of CsAlHg2Cl8. Source: Alexandria, functional GGA-PBE.

## Properties
The crystal system is triclinic. For the uncorrected formation energy, the calculation gives -13.6 eV/f.u.

CIF file:
```
data_CsAlHg2Cl8
_chemical_formula_sum 'Cs1 Al1 Hg2 Cl8'
_cell_length_a 6.384
_cell_length_b 7.081
_cell_length_c 8.747
_cell_angle_alpha 74.14
_cell_angle_beta 83.12
_cell_angle_gamma 88.49
_symmetry_space_group_name_H-M 'P -1'
_symmetry_Int_Tables_number 2
loop_
_symmetry_equiv_pos_as_xyz
'x,y,z'
'-x,-y,-z'
loop_
_atom_site_label
_atom_site_fract_x
_atom_site_fract_y
_atom_site_fract_z
_atom_site_occupancy
Cs1 0.000 0.000 0.000 1
Al1 0.000 0.500 0.500 1
Hg1 0.473 0.452 0.241 1
Cl1 0.118 0.511 0.749 1
Cl2 0.206 0.231 0.495 1
Cl3 0.278 0.713 0.351 1
Cl4 0.489 0.228 0.068 1
```

8.
A relaxed structure of CsAl2HgCl8. Source: Alexandria, functional GGA-PBE.

## Properties
The crystal system is trigonal. For the uncorrected formation energy, the calculation gives -17.3 eV/f.u.

CIF file:
```
data_CsAl2HgCl8
_chemical_formula_sum 'Cs3 Al6 Hg3 Cl24'
_cell_length_a 6.7677
_cell_length_b 6.7677
_cell_length_c 29.7600
_cell_angle_alpha 90.00
_cell_angle_beta 90.00
_cell_angle_gamma 120.00
_symmetry_space_group_name_H-M 'R -3'
_symmetry_Int_Tables_number 148
_symmetry_space_group_name_Hall '-R 3'
loop_
_atom_site_label
_atom_site_fract_x
_atom_site_fract_y
_atom_site_fract_z
_atom_site_occupancy
Cs1 0.0000 0.0000 0.0000 1
Al1 0.0000 0.0000 0.2510 1
Hg1 0.0000 0.0000 0.5000 1
Cl1 0.0000 0.0000 0.3236 1
Cl2 0.0158 0.6362 0.4385 1
```

9.
A relaxed structure of Cs2AlI6Cl. Source: Alexandria, functional GGA-PBE.

## Properties
The crystal system is tetragonal. For the uncorrected formation energy, the calculation gives -8.2 eV/f.u.

CIF file:
```
data_Cs2AlI6Cl
_chemical_formula_sum 'Cs4 Al2 I12 Cl2'
_cell_length_a 8.916
_cell_length_b 8.916
_cell_length_c 11.621
_cell_angle_alpha 90.00
_cell_angle_beta 90.00
_cell_angle_gamma 90.00
_symmetry_space_group_name_H-M 'I 4/m m m'
_symmetry_Int_Tables_number 139
_symmetry_space_group_name_Hall '-I 4 2'
loop_
_atom_site_label
_atom_site_fract_x
_atom_site_fract_y
_atom_site_fract_z
_atom_site_occupancy
Cs1 0.000 0.500 0.250 1
Al1 0.000 0.000 0.000 1
I1 0.000 0.000 0.272 1
I2 0.213 0.213 0.000 1
Cl1 0.000 0.000 0.500 1
```

10.
A relaxed structure of CsAlI2Cl. Source: Alexandria, functional GGA-PBE.

## Properties
The crystal system is tetragonal. For the uncorrected formation energy, the calculation gives -5.2 eV/f.u.

CIF file:
```
data_CsAlI2Cl
_chemical_formula_sum 'Cs1 Al1 I2 Cl1'
_cell_length_a 5.928
_cell_length_b 5.928
_cell_length_c 5.179
_cell_angle_alpha 90.00
_cell_angle_beta 90.00
_cell_angle_gamma 90.00
_symmetry_space_group_name_H-M 'P 4/m m m'
_symmetry_Int_Tables_number 123
_symmetry_space_group_name_Hall '-P 4 2'
loop_
_atom_site_label
_atom_site_fract_x
_atom_site_fract_y
_atom_site_fract_z
_atom_site_occupancy
Cs1 0.000 0.000 0.000 1
Al1 0.500 0.500 0.500 1
I1 0.000 0.500 0.500 1
Cl1 0.500 0.500 0.000 1
```

11.
A relaxed structure of Cs2AlICl6. Source: Alexandria, functional GGA-PBE.

## Properties
The crystal system is tetragonal. For the uncorrected formation energy, the calculation gives -14.0 eV/f.u.

CIF file:
```
data_Cs2AlICl6
_chemical_formula_sum 'Cs4 Al2 I2 Cl12'
_cell_length_a 8.288
_cell_length_b 8.288
_cell_length_c 10.430
_cell_angle_alpha 90.00
_cell_angle_beta 90.00
_cell_angle_gamma 90.00
_symmetry_space_group_name_H-M 'I 4/m m m'
_symmetry_Int_Tables_number 139
_symmetry_space_group_name_Hall '-I 4 2'
loop_
_atom_site_label
_atom_site_fract_x
_atom_site_fract_y
_atom_site_fract_z
_atom_site_occupancy
Cs1 0.000 0.500 0.250 1
Al1 0.000 0.000 0.000 1
I1 0.000 0.000 0.500 1
Cl1 0.000 0.000 0.254 1
Cl2 0.193 0.193 0.000 1
```

Copy entry 8 word for word.
A relaxed structure of CsAl2HgCl8. Source: Alexandria, functional GGA-PBE.

## Properties
The crystal system is trigonal. For the uncorrected formation energy, the calculation gives -17.3 eV/f.u.

CIF file:
```
data_CsAl2HgCl8
_chemical_formula_sum 'Cs3 Al6 Hg3 Cl24'
_cell_length_a 6.7677
_cell_length_b 6.7677
_cell_length_c 29.7600
_cell_angle_alpha 90.00
_cell_angle_beta 90.00
_cell_angle_gamma 120.00
_symmetry_space_group_name_H-M 'R -3'
_symmetry_Int_Tables_number 148
_symmetry_space_group_name_Hall '-R 3'
loop_
_atom_site_label
_atom_site_fract_x
_atom_site_fract_y
_atom_site_fract_z
_atom_site_occupancy
Cs1 0.0000 0.0000 0.0000 1
Al1 0.0000 0.0000 0.2510 1
Hg1 0.0000 0.0000 0.5000 1
Cl1 0.0000 0.0000 0.3236 1
Cl2 0.0158 0.6362 0.4385 1
```